# Y4Tm2Th3

A geometry-optimized Y4Tm2Th3 structure (GGA-PBE, Alexandria).

* total magnetization: 0.0 μB/cell
* formation energy: 8 kJ per mole of atoms
* SG: P3m1, No. 156

abc: 3.562 3.562 26.403
angles: 90.00 90.00 120.00
Atoms (fractional coordinates):
Y 0.000 0.000 0.000
Y 0.000 0.000 0.220
Y 0.333 0.667 0.329
Y 0.333 0.667 0.551
Tm 0.000 0.000 0.658
Tm 0.000 0.000 0.875
Th 0.000 0.000 0.440
Th 0.333 0.667 0.108
Th 0.333 0.667 0.769

***

# Sm2AgPd

A geometry-optimized Sm2AgPd structure (GGA-PBE, Alexandria).

* total magnetization: 0.0 μB/cell
* offset from the most stable computed form: 9.5 kJ/mol of formula units
* formation energy: -51 kJ per mole of atoms
* SG: P4/mmm, No. 123

abc: 3.640 3.640 7.329
angles: 90.00 90.00 90.00
Atoms (fractional coordinates):
Sm 0.000 0.000 0.238
Sm 0.000 0.000 0.762
Ag 0.500 0.500 0.500
Pd 0.500 0.500 0.000